Density functional theory data (PBE+U) for an optimized crystal structure of CaNi2PbO.

Total magnetic moment: 0.00 Bohr magnetons per cell
Crystal system: tetragonal
E_tot: -2.508 eV/atom
Space group: No. 123
Relative energy among the computed polymorphs: 333 meV per atom
D(E_F): 1.224 states/eV per cell

The structure in POSCAR format:
```
CaNi2PbO
1.0
-0.666 4.303 1.906
-4.429 -0.983 0.671
1.038 -1.743 4.298
Pb Ni Ca O
1 2 1 1
Direct
0.000 0.000 0.000
0.000 0.000 0.500
0.500 0.000 0.000
0.500 0.500 0.500
0.000 0.500 0.000
```